# Ho4Si3Rh | Alexandria | GGA-PBE | optimized geometry
# ΔE_f (raw): -829.1 meV per atom
data_Ho4Si3Rh
_chemical_formula_sum 'Ho4 Si3 Rh1'
_space_group_name_H-M_alt 'P m m 2'
_space_group_IT_number 25
_cell_length_a 3.8321
_cell_length_b 4.2215
_cell_length_c 10.6401
_cell_angle_alpha 90.00
_cell_angle_beta 90.00
_cell_angle_gamma 90.00
loop_
_space_group_symop_operation_xyz
'x,y,z'
'-x,-y,z'
'-x,y,z'
'x,-y,z'
loop_
_atom_site_label
_atom_site_fract_x
_atom_site_fract_y
_atom_site_fract_z
Ho1 0.0000 0.0000 0.0000
Ho2 0.0000 0.5000 0.4948
Ho3 0.5000 0.0000 0.2799
Ho4 0.5000 0.5000 0.7807
Si1 0.0000 0.0000 0.7073
Si2 0.0000 0.5000 0.2127
Si3 0.5000 0.0000 0.5617
Rh1 0.5000 0.5000 0.0617



# TaZnIn | Alexandria | GGA-PBE | optimized geometry
# E_tot: -5.089 eV/atom
data_TaZnIn
_chemical_formula_sum 'Ta2 Zn2 In2'
_space_group_name_H-M_alt 'I 4 m m'
_space_group_IT_number 107
_space_group_name_Hall 'I 4 -2'
_cell_length_a 2.9319
_cell_length_b 2.9319
_cell_length_c 12.9685
_cell_angle_alpha 90.00
_cell_angle_beta 90.00
_cell_angle_gamma 90.00
loop_
_atom_site_label
_atom_site_fract_x
_atom_site_fract_y
_atom_site_fract_z
Ta1 0.0000 0.0000 0.0000
Zn1 0.0000 0.0000 0.6493
In1 0.0000 0.0000 0.3247



# Pm3Ho3Sc | Alexandria | GGA-PBE | optimized geometry
# Relative energy among the computed polymorphs: 0.113 eV per atom
data_Pm3Ho3Sc
_chemical_formula_sum 'Pm18 Ho18 Sc6'
_space_group_name_H-M_alt 'R -3'
_space_group_IT_number 148
_space_group_name_Hall '-R 3'
_cell_length_a 6.1879
_cell_length_b 6.1879
_cell_length_c 41.6034
_cell_angle_alpha 90.00
_cell_angle_beta 90.00
_cell_angle_gamma 120.00
loop_
_atom_site_label
_atom_site_fract_x
_atom_site_fract_y
_atom_site_fract_z
Pm1 0.9998 0.3332 0.2701
Ho1 0.9999 0.3324 0.1326
Sc1 0.0000 0.0000 0.3333



# CsCd2InHg | Alexandria | GGA-PBE | optimized geometry
# Relative energy among the computed polymorphs: 0.097 eV per atom
data_CsCd2InHg
_chemical_formula_sum 'Cs1 Cd2 In1 Hg1'
_space_group_name_H-M_alt 'P 4/m m m'
_space_group_IT_number 123
_space_group_name_Hall '-P 4 2'
_cell_length_a 5.7691
_cell_length_b 5.7691
_cell_length_c 5.8601
_cell_angle_alpha 90.00
_cell_angle_beta 90.00
_cell_angle_gamma 90.00
loop_
_atom_site_label
_atom_site_fract_x
_atom_site_fract_y
_atom_site_fract_z
Cs1 0.0000 0.0000 0.0000
Cd1 0.0000 0.5000 0.5000
In1 0.5000 0.5000 0.5000
Hg1 0.5000 0.5000 0.0000



Values of magnetic moment, in order: 0.0; 0.0; 0.0; 0.0, all in μB/cell.